Density functional theory data (GGA-PBE) for a geometry-optimized La12YTm6 structure.

Cell lengths 9.311, 9.311, 9.311 Å; angles 106.85, 106.85, 106.85 degrees
Sites, in units of the cell vectors:
La1 0.489 0.194 0.584
La2 0.194 0.584 0.489
La3 0.584 0.489 0.194
La4 0.511 0.806 0.416
La5 0.806 0.416 0.511
La6 0.416 0.511 0.806
La7 0.290 0.118 0.818
La8 0.182 0.710 0.882
La9 0.882 0.182 0.710
La10 0.710 0.882 0.182
La11 0.818 0.290 0.118
La12 0.118 0.818 0.290
Y1 0.000 0.000 0.000
Tm1 0.087 0.191 0.441
Tm2 0.809 0.559 0.913
Tm3 0.559 0.913 0.809
Tm4 0.913 0.809 0.559
Tm5 0.191 0.441 0.087
Tm6 0.441 0.087 0.191

The formation energy from the elements comes out at 0.229 eV/atom. The calculation puts the density of states at the Fermi level at 1.8220 states/eV/atom. As for the energy: -4.64 eV per atom. Its symmetry is R-3, No. 148.